Record 1
LaErNbN3: relaxed, PBE-GGA.

abc: 3.3810 6.8526 9.3358
angles: 95.74 90.00 90.00
Last column: nearest neighbours and their distance in Å.
Positions (direct):
La 0.7500 0.8148 0.7712  6 N 2.49-2.76
La 0.2500 0.1852 0.2288  6 N 2.49-2.76
Er 0.2500 0.6472 0.1193  5 N 2.23-2.42
Er 0.7500 0.3528 0.8807  5 N 2.23-2.42
Nb 0.2500 0.1355 0.5783  4 N 2.02-2.19
Nb 0.7500 0.8645 0.4217  4 N 2.02-2.19
N 0.2500 0.8151 0.5452  3 Nb 2.09-2.19
N 0.7500 0.8659 0.2055  1 Nb 2.02
N 0.7500 0.3942 0.1209  3 Er 2.23-2.42, 2 La 2.49
N 0.7500 0.1850 0.4548  3 Nb 2.09-2.19
N 0.2500 0.6058 0.8791  3 Er 2.23-2.42, 2 La 2.49
N 0.2500 0.1341 0.7945  1 Nb 2.02

Summary:
SG: P2_1/m, No. 11
Uncorrected formation energy: -1.124 eV/atom
Raw total energy: -0.3141 hartree per atom


Record 2
La2ErNpN4: relaxed, PBE-GGA.

abc: 3.5514 6.0633 6.2695
angles: 108.45 90.00 90.00
Last column: nearest neighbours and their distance in Å.
Positions (direct):
La 0.5000 0.0000 0.5000  6 N 2.61-2.63
La 0.0000 0.5000 0.5000  6 N 2.69-2.75
Er 0.5000 0.5000 0.0000  6 N 2.41-2.45
Np 0.0000 0.0000 0.0000  6 N 2.26-2.38
N 0.5000 0.2298 0.2118  2 Np 2.38, 1 Er 2.41, 1 La 2.61
N 0.5000 0.7702 0.7882  2 Np 2.38, 1 Er 2.41, 1 La 2.61
N 0.0000 0.2426 0.7903  1 Np 2.26, 2 Er 2.45
N 0.0000 0.7574 0.2097  1 Np 2.26, 2 Er 2.45

Summary:
SG: P2/m, No. 10
Uncorrected formation energy: -1.387 eV/atom
Raw total energy: -0.3296 hartree per atom


Record 3
La3Er2NpN6: relaxed, PBE-GGA.

abc: 6.0891 6.0891 6.2886
angles: 99.30 99.30 119.92
Last column: nearest neighbours and their distance in Å.
Positions (direct):
La 0.1695 0.8305 0.5000  6 N 2.61-2.75
La 0.8305 0.1695 0.5000  6 N 2.61-2.75
La 0.5000 0.5000 0.5000  6 N 2.61-2.75
Er 0.3337 0.6663 0.0000  6 N 2.45-2.46
Er 0.6663 0.3337 0.0000  6 N 2.45-2.46
Np 0.0000 0.0000 0.0000  6 N 2.27-2.29
N 0.9298 0.6195 0.7894  1 Np 2.27, 2 Er 2.45
N 0.7603 0.7603 0.2153  1 Np 2.29, 2 Er 2.46
N 0.0702 0.3805 0.2106  1 Np 2.27, 2 Er 2.45
N 0.6195 0.9298 0.7894  1 Np 2.27, 2 Er 2.45
N 0.2397 0.2397 0.7847  1 Np 2.29, 2 Er 2.46
N 0.3805 0.0702 0.2106  1 Np 2.27, 2 Er 2.45

Summary:
SG: C2/m, No. 12
Uncorrected formation energy: -1.444 eV/atom
Raw total energy: -0.3189 hartree per atom


Record 4
La4ErPa3N8: relaxed, PBE-GGA.

abc: 7.1436 7.2768 7.1415
angles: 119.38 120.01 90.00
Last column: nearest neighbours and their distance in Å.
Positions (direct):
La 0.5000 0.0000 0.0000  6 N 2.67
La 0.5000 0.0000 0.5000  6 N 2.73-2.74
La 0.0000 0.0000 0.0000  6 N 2.73-2.74
La 0.0000 0.0000 0.5000  6 N 2.73-2.74
Er 0.0000 0.5000 0.0000  6 N 2.45
Pa 0.5000 0.5000 0.0000  6 N 2.37-2.39
Pa 0.5000 0.5000 0.5000  6 N 2.37-2.39
Pa 0.0000 0.5000 0.5000  6 N 2.37-2.39
N 0.2398 0.7044 0.9646  2 Pa 2.37, 1 Er 2.45
N 0.2397 0.7044 0.4795  2 Pa 2.37, 1 Er 2.45
N 0.2661 0.2984 0.5322  3 Pa 2.39
N 0.7248 0.7044 0.9646  2 Pa 2.37, 1 Er 2.45
N 0.2752 0.2956 0.0354  2 Pa 2.37, 1 Er 2.45
N 0.7339 0.7016 0.4678  3 Pa 2.39
N 0.7603 0.2956 0.5205  2 Pa 2.37, 1 Er 2.45
N 0.7602 0.2956 0.0354  2 Pa 2.37, 1 Er 2.45

Summary:
SG: R-3m, No. 166
Uncorrected formation energy: -1.581 eV/atom
Raw total energy: -0.3323 hartree per atom


Record 5
LaEr2PaN4: relaxed, PBE-GGA.

abc: 3.5238 6.0577 6.1375
angles: 70.79 90.00 90.00
Last column: nearest neighbours and their distance in Å.
Positions (direct):
La 0.5000 0.5000 0.0000  6 N 2.57-2.58
Er 0.0000 0.0000 0.0000  6 N 2.53-2.62
Er 0.5000 0.0000 0.5000  6 N 2.40-2.42
Pa 0.0000 0.5000 0.5000  6 N 2.36-2.46
N 0.0000 0.7532 0.7204  1 Pa 2.36, 3 Er 2.42-2.62, 2 La 2.58
N 0.0000 0.2468 0.2796  1 Pa 2.36, 3 Er 2.42-2.62, 2 La 2.58
N 0.5000 0.7527 0.2650  3 Er 2.40-2.53, 2 Pa 2.46, 1 La 2.57
N 0.5000 0.2473 0.7350  3 Er 2.40-2.53, 2 Pa 2.46, 1 La 2.57

Summary:
SG: P2/m, No. 10
Uncorrected formation energy: -1.603 eV/atom
Raw total energy: -0.3201 hartree per atom


Record 6
LaErPaN3: relaxed, PBE-GGA.

abc: 3.5649 6.0626 9.2570
angles: 101.78 90.00 90.00
Last column: nearest neighbours and their distance in Å.
Positions (direct):
La 0.7500 0.6567 0.6990  7 N 2.66-2.86
La 0.2500 0.3433 0.3010  7 N 2.66-2.86
Er 0.2500 0.7645 0.0393  6 N 2.36-2.60
Er 0.7500 0.2355 0.9607  6 N 2.36-2.60
Pa 0.2500 0.1411 0.6537  5 N 2.26-2.39
Pa 0.7500 0.8589 0.3463  5 N 2.26-2.39
N 0.2500 0.7758 0.4960  3 Pa 2.37-2.39
N 0.7500 0.0334 0.1532  1 Pa 2.26, 3 Er 2.36-2.50
N 0.7500 0.5496 0.1617  1 Pa 2.26, 1 Er 2.38
N 0.7500 0.2242 0.5040  3 Pa 2.37-2.39
N 0.2500 0.4504 0.8383  1 Pa 2.26, 1 Er 2.38
N 0.2500 0.9666 0.8468  1 Pa 2.26, 3 Er 2.36-2.50

Summary:
SG: P2_1/m, No. 11
Uncorrected formation energy: -1.432 eV/atom
Raw total energy: -0.3219 hartree per atom


Record 7
La2ErPuN4: relaxed, PBE-GGA.

abc: 3.5798 6.1499 6.2529
angles: 109.00 90.00 90.00
Last column: nearest neighbours and their distance in Å.
Positions (direct):
La 0.5000 0.0000 0.5000  6 N 2.62
La 0.0000 0.5000 0.5000  6 N 2.65-2.66
Er 0.5000 0.5000 0.0000  6 N 2.44-2.47
Pu 0.0000 0.0000 0.0000  6 N 2.40-2.42
N 0.5000 0.2350 0.2178  2 Pu 2.42, 1 Er 2.44, 3 La 2.62-2.66
N 0.5000 0.7650 0.7822  2 Pu 2.42, 1 Er 2.44, 3 La 2.62-2.66
N 0.0000 0.2522 0.7761  1 Pu 2.40, 2 Er 2.47, 3 La 2.62-2.65
N 0.0000 0.7478 0.2239  1 Pu 2.40, 2 Er 2.47, 3 La 2.62-2.65

Summary:
SG: P2/m, No. 10
Uncorrected formation energy: -1.386 eV/atom
Raw total energy: -0.3360 hartree per atom


Record 8
La2ErPuN5: relaxed, PBE-GGA.

abc: 3.6177 7.2631 11.3584
angles: 90.00 90.00 104.42
Last column: nearest neighbours and their distance in Å.
Positions (direct):
La 0.8554 0.7109 0.7680  5 N 2.52-2.67
La 0.1011 0.2023 0.6880  3 N 2.39-2.65
La 0.1446 0.2891 0.2680  5 N 2.52-2.67
La 0.8989 0.7977 0.1880  3 N 2.39-2.65
Er 0.7712 0.5424 0.5089  6 N 2.30-2.47
Er 0.2288 0.4576 0.0089  6 N 2.30-2.47
Pu 0.5318 0.0636 0.9582  5 N 2.06-2.17
Pu 0.4682 0.9364 0.4582  5 N 2.06-2.17
N 0.3926 0.7851 0.0138  1 Pu 2.06, 1 Er 2.30
N 0.6704 0.3407 0.8927  1 Pu 2.09
N 0.4861 0.9721 0.7816  1 Pu 2.11
N 0.2692 0.5384 0.6568  3 La 2.39-2.52, 2 Er 2.47
N 0.9378 0.8756 0.5560  2 Pu 2.17, 1 Er 2.40
N 0.6074 0.2149 0.5138  1 Pu 2.06, 1 Er 2.30
N 0.3296 0.6593 0.3927  1 Pu 2.09
N 0.5139 0.0279 0.2816  1 Pu 2.11
N 0.7308 0.4616 0.1568  3 La 2.39-2.52, 2 Er 2.47
N 0.0622 0.1244 0.0560  2 Pu 2.17, 1 Er 2.40

Summary:
SG: Cmc2_1, No. 36
Uncorrected formation energy: -1.160 eV/atom
Raw total energy: -0.3300 hartree per atom


Record 9
LaEr2RhN4: relaxed, PBE-GGA.

abc: 3.4338 6.1391 11.5011
angles: 90.00 90.00 106.24
Last column: nearest neighbours and their distance in Å.
Positions (direct):
La 0.1116 0.2232 0.7500  6 N 2.59-2.66
La 0.8884 0.7768 0.2500  6 N 2.59-2.66
Er 0.3703 0.7405 0.5448  6 N 2.27-2.54
Er 0.6297 0.2595 0.0448  6 N 2.27-2.54
Er 0.6297 0.2595 0.4552  6 N 2.27-2.54
Er 0.3703 0.7405 0.9552  6 N 2.27-2.54
Rh 0.8506 0.7012 0.7500  4 N 2.03-2.06
Rh 0.1494 0.2988 0.2500  4 N 2.03-2.06
N 0.2688 0.5376 0.1233  1 Rh 2.03
N 0.7312 0.4624 0.6233  1 Rh 2.03
N 0.7312 0.4624 0.8767  1 Rh 2.03
N 0.2688 0.5376 0.3767  1 Rh 2.03
N 0.0000 0.0000 0.5000  4 Er 2.36
N 0.0000 0.0000 0.0000  4 Er 2.36
N 0.4474 0.8949 0.7500  2 Rh 2.06
N 0.5526 0.1051 0.2500  2 Rh 2.06

Summary:
SG: Cmcm, No. 63
Uncorrected formation energy: -1.021 eV/atom
Raw total energy: -0.2888 hartree per atom


Record 10
LaEr2RuN4: relaxed, PBE-GGA.

abc: 3.4531 6.0965 11.5536
angles: 90.00 90.00 106.45
Last column: nearest neighbours and their distance in Å.
Positions (direct):
La 0.1134 0.2268 0.7500  6 N 2.67-2.68
La 0.8866 0.7732 0.2500  6 N 2.67-2.68
Er 0.3690 0.7381 0.5427  6 N 2.27-2.53
Er 0.6310 0.2619 0.0427  6 N 2.27-2.53
Er 0.6310 0.2619 0.4573  6 N 2.27-2.53
Er 0.3690 0.7381 0.9573  6 N 2.27-2.53
Ru 0.8518 0.7037 0.7500  4 N 2.00
Ru 0.1482 0.2963 0.2500  4 N 2.00
N 0.2653 0.5305 0.1236  1 Ru 2.00
N 0.7347 0.4695 0.6236  1 Ru 2.00
N 0.7347 0.4695 0.8764  1 Ru 2.00
N 0.2653 0.5305 0.3764  1 Ru 2.00
N 0.0000 0.0000 0.5000  4 Er 2.36
N 0.0000 0.0000 0.0000  4 Er 2.36
N 0.4376 0.8751 0.7500  2 Ru 2.00
N 0.5624 0.1249 0.2500  2 Ru 2.00

Summary:
SG: Cmcm, No. 63
Uncorrected formation energy: -1.073 eV/atom
Raw total energy: -0.2996 hartree per atom


Record 11
LaEr2TaN4: relaxed, PBE-GGA.

abc: 3.4194 6.2590 12.0644
angles: 90.00 90.00 105.85
Last column: nearest neighbours and their distance in Å.
Positions (direct):
La 0.0935 0.1870 0.7500  2 N 2.57
La 0.9065 0.8130 0.2500  2 N 2.57
Er 0.3712 0.7424 0.5348  5 N 2.28-2.53
Er 0.6288 0.2576 0.0348  5 N 2.28-2.53
Er 0.6288 0.2576 0.4652  5 N 2.28-2.53
Er 0.3712 0.7424 0.9652  5 N 2.28-2.53
Ta 0.8333 0.6667 0.7500  4 N 1.95-2.09
Ta 0.1667 0.3333 0.2500  4 N 1.95-2.09
N 0.2593 0.5186 0.1178  1 Ta 1.95
N 0.7407 0.4814 0.6178  1 Ta 1.95
N 0.7407 0.4814 0.8822  1 Ta 1.95
N 0.2593 0.5186 0.3822  1 Ta 1.95
N 0.0000 0.0000 0.5000  4 Er 2.35
N 0.0000 0.0000 0.0000  4 Er 2.35
N 0.4339 0.8678 0.7500  2 Ta 2.09
N 0.5661 0.1322 0.2500  2 Ta 2.09

Summary:
SG: Cmcm, No. 63
Uncorrected formation energy: -1.352 eV/atom
Raw total energy: -0.3217 hartree per atom


Record 12
La3Er2TaN6: relaxed, PBE-GGA.

abc: 5.9907 5.9907 6.1754
angles: 99.28 99.28 119.96
Last column: nearest neighbours and their distance in Å.
Positions (direct):
La 0.1674 0.8326 0.5000  6 N 2.55-2.74
La 0.8326 0.1674 0.5000  6 N 2.55-2.74
La 0.5000 0.5000 0.5000  6 N 2.56-2.72
Er 0.3333 0.6667 0.0000  6 N 2.42-2.43
Er 0.6667 0.3333 0.0000  6 N 2.42-2.43
Ta 0.0000 0.0000 0.0000  6 N 2.21-2.23
N 0.9296 0.6236 0.7896  1 Ta 2.21, 2 Er 2.42
N 0.7648 0.7648 0.2161  1 Ta 2.23, 2 Er 2.43
N 0.0704 0.3764 0.2104  1 Ta 2.21, 2 Er 2.42
N 0.6236 0.9296 0.7896  1 Ta 2.21, 2 Er 2.42
N 0.2352 0.2352 0.7839  1 Ta 2.23, 2 Er 2.43
N 0.3764 0.0704 0.2104  1 Ta 2.21, 2 Er 2.42

Summary:
SG: C2/m, No. 12
Uncorrected formation energy: -1.446 eV/atom
Raw total energy: -0.3156 hartree per atom